Entry 1:
Density functional theory data (PBE) for a relaxed structure of V2TePdI.

Lattice parameters (Å, degrees): 5.1757 5.1757 5.0135 90.00 90.00 90.00
Closest atoms and distances in Å follow each position.
Space group P4/mmm (No. 123)
Symmetry-distinct sites (fractional):
V (0.0000, 0.5000, 0.0000) [2 per cell]  2 Pd 2.59
Te (0.0000, 0.0000, 0.5000) [1 per cell]  8 V 3.60, 4 I 3.66
Pd (0.5000, 0.5000, 0.0000) [1 per cell]  2 I 2.51, 4 V 2.59
I (0.5000, 0.5000, 0.5000) [1 per cell]  2 Pd 2.51

uncorrected formation energy	4.66	eV/f.u.

***

Entry 2:
Density functional theory data (PBE) for a relaxed structure of Li5Zr3H12.

Lattice parameters (Å, degrees): 11.2365 11.2365 11.2365 90.00 90.00 90.00
Closest atoms and distances in Å follow each position.
Space group Ia-3d (No. 230)
Symmetry-distinct sites (fractional):
Li (0.0000, 0.0000, 0.0000) [16 per cell]  6 H 1.93
Li (0.0000, 0.2500, 0.3750) [24 per cell]  4 H 1.76
Zr (0.0000, 0.2500, 0.1250) [24 per cell]  8 H 2.08-2.09
H (0.0200, 0.0686, 0.6567) [96 per cell]  2 Li 1.76-1.93

total DFT energy (no corrections)	-4.144	eV/atom

***

Entry 3:
Density functional theory data (PBE) for a relaxed structure of Tl5SnI8.

Lattice parameters (Å, degrees): 10.3666 10.3666 10.3986 90.00 90.00 90.00
Closest atoms and distances in Å follow each position.
Space group I-4 (No. 82)
Symmetry-distinct sites (fractional):
Tl (0.0000, 0.0000, 0.0000) [2 per cell]  4 I 3.44
Tl (0.1241, 0.7446, 0.6313) [8 per cell]  7 I 3.41-3.76
Sn (0.0000, 0.5000, 0.2500) [2 per cell]  8 I 3.25-3.62
I (0.0655, 0.8008, 0.3110) [8 per cell]  1 Sn 3.25, 2 Tl 3.44-3.47
I (0.0673, 0.6773, 0.9581) [8 per cell]  5 Tl 3.41-3.76, 1 Sn 3.62

uncorrected formation energy	-7.20	eV/f.u.

***

Entry 4:
Density functional theory data (PBE) for a relaxed structure of Nd3Y2Tl4.

Lattice parameters (Å, degrees): 7.3842 15.6878 9.9099 90.00 90.00 90.00
Closest atoms and distances in Å follow each position.
Space group Cmce (No. 64)
Symmetry-distinct sites (fractional):
Nd (0.0000, 0.0000, 0.0000) [4 per cell]  6 Tl 3.09-3.10
Nd (0.2500, 0.2165, 0.2500) [8 per cell]  5 Tl 3.21-3.29
Y (0.0000, 0.1053, 0.5539) [8 per cell]  3 Tl 3.19-3.22, 1 Y 3.47
Tl (0.0000, 0.1972, 0.9764) [8 per cell]  5 Nd 3.10-3.29, 1 Y 3.19
Tl (0.2500, 0.0080, 0.2500) [8 per cell]  3 Nd 3.09-3.27, 2 Y 3.22

formation enthalpy at 0 K	-198	meV/atom
relative energy among the computed polymorphs	125	meV/atom